Entry 1:
Compound: DyURh4
Source: the Alexandria database
Functional: PBE
Structure: optimized geometry

Properties
Size of the total moment: 2.01 μB per formula unit
Calculated density: 12.68 g/cm3
Formation enthalpy at 0 K: -0.556 eV/atom

Unit cell a=5.3180 b=5.3180 c=5.3180 alpha=60.00 beta=60.00 gamma=60.00
Closest atoms and distances in Å follow each position.
Element x y z (fractional)
U  0.2500  0.2500  0.2500  12 Rh 3.12, 4 Dy 3.26
Rh  0.6250  0.6250  0.1249  6 Rh 2.66
Rh  0.1249  0.6250  0.6250  6 Rh 2.66
Rh  0.6250  0.1249  0.6250  6 Rh 2.66
Rh  0.6250  0.6250  0.6250  6 Rh 2.66
Dy  0.0000  0.0000  0.0000  12 Rh 3.12, 4 U 3.26

=====

Entry 2:
Compound: DyURh6
Source: the Alexandria database
Functional: PBE
Structure: optimized geometry

Properties
Size of the total moment: 0.00 μB per formula unit
Calculated density: 12.89 g/cm3
Formation enthalpy at 0 K: -0.643 eV/atom

Unit cell a=4.0366 b=4.0366 c=8.0471 alpha=90.00 beta=90.00 gamma=90.00
Closest atoms and distances in Å follow each position.
Element x y z (fractional)
Rh  0.0000  0.5000  0.7380  8 Rh 2.78-2.92, 2 U 2.78, 2 Dy 2.92
Rh  0.5000  0.0000  0.7380  2 U 2.78, 8 Rh 2.78-2.92, 2 Dy 2.92
Rh  0.5000  0.5000  0.0000  4 Dy 2.85, 8 Rh 2.92
Rh  0.5000  0.0000  0.2620  2 U 2.78, 8 Rh 2.78-2.92, 2 Dy 2.92
Rh  0.0000  0.5000  0.2620  8 Rh 2.78-2.92, 2 U 2.78, 2 Dy 2.92
Rh  0.5000  0.5000  0.5000  8 Rh 2.78, 4 U 2.85
U  0.0000  0.0000  0.5000  12 Rh 2.78-2.85
Dy  0.0000  0.0000  0.0000  12 Rh 2.85-2.92

=====

Entry 3:
Compound: DyURh
Source: the Alexandria database
Functional: PBE
Structure: optimized geometry

Properties
Size of the total moment: 1.80 μB per formula unit
Calculated density: 12.43 g/cm3
Formation enthalpy at 0 K: 0.169 eV/atom

Unit cell a=6.3881 b=5.5750 c=9.7561 alpha=79.19 beta=70.89 gamma=55.05
Closest atoms and distances in Å follow each position.
Element x y z (fractional)
Rh  0.2182  0.5635  0.0000  2 U 2.62
Rh  0.5318  0.9365  0.5000  2 U 2.62
Rh  0.9682  0.0635  0.5000  2 U 2.62
Rh  0.7818  0.4365  0.0000  2 U 2.62
U  0.6580  0.5000  0.6840  2 Rh 2.62
U  0.9080  0.0000  0.1840  2 Rh 2.62
U  0.0920  0.0000  0.8160  2 Rh 2.62
U  0.8420  0.5000  0.3160  2 Rh 2.62
Dy  0.5864  0.0000  0.8272  2 Rh 3.03, 4 U 3.08-3.20, 3 Dy 3.13-3.19
Dy  0.3364  0.5000  0.3272  2 Rh 3.03, 4 U 3.08-3.20, 3 Dy 3.13-3.19
Dy  0.4136  0.0000  0.1728  2 Rh 3.03, 4 U 3.08-3.20, 3 Dy 3.13-3.19
Dy  0.1636  0.5000  0.6728  2 Rh 3.03, 4 U 3.08-3.20, 3 Dy 3.13-3.19